Record 1
! MgTa | the Alexandria database | SCAN | PBEsol geometry; values from VASP
! V	18.51	Å³/atom
! total energy	-141.86	eV per cell
&SYSTEM
  ibrav = 0, nat = 4, ntyp = 2
/
ATOMIC_SPECIES
Mg 24.30 Mg.upf
Ta 180.95 Ta.upf
ATOMIC_POSITIONS crystal
Mg 0.561 0.750 0.122
Mg 0.439 0.250 0.878
Ta 0.808 0.750 0.616
Ta 0.192 0.250 0.384
CELL_PARAMETERS angstrom
-1.544 1.669 -1.438
-1.870 -3.686 -2.270
-3.411 -1.209 4.775

Record 2
! Mg2Ta | the Alexandria database | SCAN | PBEsol geometry; values from VASP
! V	19.24	Å³/atom
! total energy	-75.19	eV per cell
&SYSTEM
  ibrav = 0, nat = 3, ntyp = 2
/
ATOMIC_SPECIES
Mg 24.30 Mg.upf
Ta 180.95 Ta.upf
ATOMIC_POSITIONS crystal
Mg 0.669 0.669 0.338
Mg 0.331 0.331 0.662
Ta 0.000 0.000 0.000
CELL_PARAMETERS angstrom
-1.214 1.867 1.675
-2.930 -2.841 1.042
4.881 -1.040 2.380

Record 3
! MgTa | the Alexandria database | SCAN | PBEsol geometry; values from VASP
! V	18.45	Å³/atom
! total energy	-141.16	eV per cell
&SYSTEM
  ibrav = 0, nat = 4, ntyp = 2
/
ATOMIC_SPECIES
Mg 24.30 Mg.upf
Ta 180.95 Ta.upf
ATOMIC_POSITIONS crystal
Mg 0.250 0.250 0.250
Mg 0.000 0.000 0.000
Ta 0.500 0.500 0.500
Ta 0.750 0.750 0.750
CELL_PARAMETERS angstrom
4.709 0.000 0.000
2.354 4.078 0.000
2.354 1.359 3.844

Record 4
! MgTa2 | the Alexandria database | SCAN | PBEsol geometry; values from VASP
! V	17.73	Å³/atom
! distance to the lowest polymorph of the same formula	154	meV per atom
&SYSTEM
  ibrav = 0, nat = 6, ntyp = 2
/
ATOMIC_SPECIES
Mg 24.30 Mg.upf
Ta 180.95 Ta.upf
ATOMIC_POSITIONS crystal
Mg 0.667 0.333 0.750
Mg 0.333 0.667 0.250
Ta 0.000 0.000 0.000
Ta 0.000 0.000 0.500
Ta 0.667 0.333 0.250
Ta 0.333 0.667 0.750
CELL_PARAMETERS angstrom
-3.507 -2.956 -1.019
3.034 -1.048 3.431
-3.264 2.603 3.681

Record 5
! MgTa | the Alexandria database | SCAN | PBEsol geometry; values from VASP
! V	18.61	Å³/atom
! total energy	-70.88	eV per cell
&SYSTEM
  ibrav = 0, nat = 2, ntyp = 2
/
ATOMIC_SPECIES
Mg 24.30 Mg.upf
Ta 180.95 Ta.upf
ATOMIC_POSITIONS crystal
Mg 0.000 0.000 0.000
Ta 0.333 0.667 0.500
CELL_PARAMETERS angstrom
2.897 0.000 0.000
-1.448 2.509 0.000
0.000 0.000 5.122

Record 6
! MgTa2 | the Alexandria database | SCAN | PBEsol geometry; values from VASP
! V	18.53	Å³/atom
! distance to the lowest polymorph of the same formula	0	meV per atom
&SYSTEM
  ibrav = 0, nat = 3, ntyp = 2
/
ATOMIC_SPECIES
Mg 24.30 Mg.upf
Ta 180.95 Ta.upf
ATOMIC_POSITIONS crystal
Mg 0.500 0.500 0.000
Ta 0.171 0.171 0.342
Ta 0.829 0.829 0.658
CELL_PARAMETERS angstrom
-0.469 2.215 1.629
-1.806 0.998 -1.877
-4.176 -5.118 3.367

Record 7
! MgTaTc | the Alexandria database | SCAN | PBEsol geometry; values from VASP
! V	16.96	Å³/atom
! distance to the lowest polymorph of the same formula	92	meV per atom
&SYSTEM
  ibrav = 0, nat = 3, ntyp = 3
/
ATOMIC_SPECIES
Mg 24.30 Mg.upf
Ta 180.95 Ta.upf
Tc 98.00 Tc.upf
ATOMIC_POSITIONS crystal
Mg 0.993 0.993 0.987
Ta 0.680 0.680 0.360
Tc 0.327 0.327 0.653
CELL_PARAMETERS angstrom
-2.177 -1.617 -0.829
0.761 -0.538 2.678
-3.662 5.833 1.272

Record 8
! MgTa2Tc | the Alexandria database | SCAN | PBEsol geometry; values from VASP
! V	16.58	Å³/atom
! total energy	-172.35	eV per cell
&SYSTEM
  ibrav = 0, nat = 4, ntyp = 3
/
ATOMIC_SPECIES
Mg 24.30 Mg.upf
Ta 180.95 Ta.upf
Tc 98.00 Tc.upf
ATOMIC_POSITIONS crystal
Mg 0.500 0.500 0.500
Ta 0.000 0.000 0.000
Ta 0.750 0.750 0.750
Tc 0.250 0.250 0.250
CELL_PARAMETERS angstrom
-1.676 -0.306 4.212
-4.206 -1.588 0.662
-0.615 -4.077 1.910

Record 9
! MgTaTc | the Alexandria database | SCAN | PBEsol geometry; values from VASP
! V	16.75	Å³/atom
! distance to the lowest polymorph of the same formula	315	meV per atom
&SYSTEM
  ibrav = 0, nat = 3, ntyp = 3
/
ATOMIC_SPECIES
Mg 24.30 Mg.upf
Ta 180.95 Ta.upf
Tc 98.00 Tc.upf
ATOMIC_POSITIONS crystal
Mg 0.000 0.000 0.014
Ta 0.667 0.333 0.651
Tc 0.333 0.667 0.335
CELL_PARAMETERS angstrom
-2.492 -1.102 0.838
2.125 0.307 1.875
-2.357 6.546 1.601

Record 10
! MgTa2Tc | the Alexandria database | SCAN | PBEsol geometry; values from VASP
! V	16.86	Å³/atom
! total energy	-173.07	eV per cell
&SYSTEM
  ibrav = 0, nat = 4, ntyp = 3
/
ATOMIC_SPECIES
Mg 24.30 Mg.upf
Ta 180.95 Ta.upf
Tc 98.00 Tc.upf
ATOMIC_POSITIONS crystal
Mg 0.233 0.233 0.467
Ta 0.007 0.507 0.015
Ta 0.771 0.771 0.542
Tc 0.488 0.988 0.976
CELL_PARAMETERS angstrom
-1.625 -2.458 1.245
2.897 -0.138 3.510
-3.323 4.257 -0.042

Record 11
! MgTaTc | the Alexandria database | SCAN | PBEsol geometry; values from VASP
! V	16.22	Å³/atom
! distance to the lowest polymorph of the same formula	0	meV per atom
&SYSTEM
  ibrav = 0, nat = 3, ntyp = 3
/
ATOMIC_SPECIES
Mg 24.30 Mg.upf
Ta 180.95 Ta.upf
Tc 98.00 Tc.upf
ATOMIC_POSITIONS crystal
Mg 0.022 0.000 0.000
Ta 0.619 0.333 0.667
Tc 0.359 0.667 0.333
CELL_PARAMETERS angstrom
2.750 0.000 0.000
0.000 4.520 0.000
0.000 -2.260 3.914

Record 12
! MgTa2Tc | the Alexandria database | SCAN | PBEsol geometry; values from VASP
! V	17.06	Å³/atom
! total energy	-173.09	eV per cell
&SYSTEM
  ibrav = 0, nat = 4, ntyp = 3
/
ATOMIC_SPECIES
Mg 24.30 Mg.upf
Ta 180.95 Ta.upf
Tc 98.00 Tc.upf
ATOMIC_POSITIONS crystal
Mg 0.500 0.500 0.266
Ta 0.000 0.000 0.988
Ta 0.500 0.500 0.734
Tc 0.000 0.000 0.512
CELL_PARAMETERS angstrom
-1.147 2.466 0.747
-1.456 -1.219 -2.085
-5.262 -4.325 6.201